Here is crystalline NbW3F at its relaxed geometry from Alexandria via LeMat-Bulk. Energies are from GGA+U.

Results
ΔE to the lowest computed polymorph   0.000 eV per atom

```
NbW3F
1.0
-4.307 0.066 0.605
-0.303 -3.984 -1.719
0.528 -1.744 3.949
Nb W F
1 3 1
Direct
0.500 0.500 0.500 Nb
0.000 0.500 0.000 W
0.000 0.000 0.500 W
0.500 0.000 0.000 W
0.000 0.000 0.000 F
```